Entry from the Alexandria database: a relaxed ThB4Pt12 crystal (PBE).

Properties
Final energy, eV per cell: -112.80
Crystal system: cubic
Size of the total moment, μB per formula unit: 0.000
ρ, Mg/m³: 16.77

Lattice parameters (Å, degrees): 6.956 6.956 6.956 109.47 109.47 109.47
Atoms (fractional coordinates):
Pt: 0.675 0.856 0.181
Pt: 0.675 0.493 0.819
Pt: 0.819 0.675 0.493
Pt: 0.325 0.507 0.181
Pt: 0.181 0.325 0.507
Pt: 0.856 0.181 0.675
Pt: 0.819 0.325 0.144
Pt: 0.181 0.675 0.856
Pt: 0.493 0.819 0.675
Pt: 0.507 0.181 0.325
Pt: 0.325 0.144 0.819
Pt: 0.144 0.819 0.325
B: 0.000 0.000 0.500
B: 0.000 0.500 0.000
B: 0.500 0.000 0.000
B: 0.500 0.500 0.500
Th: 0.000 0.000 0.000